Model P:
# LiMnTl2

A geometry-optimized LiMnTl2 structure (GGA-PBE, Alexandria via LeMat-Bulk).

```
LiMnTl2
1.0
5.7153 0.0182 0.0000
2.6236 5.0776 0.0000
-4.1695 -2.5479 2.9647
Mn Li Tl
1 1 2
direct
0.7500 0.2500 0.5000
0.5000 0.5000 0.0000
0.0000 0.0000 0.0000
0.2500 0.7500 0.5000
```

The crystal system is tetragonal. As for the size of the total moment: 3.9 μB per formula unit.

---

Model Q:
# LiMnTl2

A geometry-optimized LiMnTl2 structure (GGA-PBE, Alexandria via LeMat-Bulk).

```
LiMnTl2
1.0
3.4265 -3.2788 1.1599
2.1002 0.1185 4.4058
-0.9739 -3.4983 3.2634
Mn Tl Li
1 2 1
direct
0.5000 0.5000 0.5000
0.2500 0.2500 0.2500
0.7500 0.7500 0.7500
0.0000 0.0000 0.0000
```

The crystal system is cubic. As for the size of the total moment: 3.9 μB per formula unit.

---

Model R:
# LiMnTl2

A geometry-optimized LiMnTl2 structure (GGA-PBE, Alexandria via LeMat-Bulk).

```
LiMnTl2
1.0
4.8249 0.0182 -0.0075
3.7269 3.0644 -0.0075
0.9951 0.3587 5.9599
Li Tl Mn
1 2 1
direct
0.7500 0.7500 0.7500
0.4978 0.4978 0.4983
0.0022 0.0022 0.0017
0.2500 0.2500 0.2500
```

The crystal system is monoclinic. As for the size of the total moment: 4.0 μB per formula unit.

---

Relative energies with respect to the most stable structure, expressed in eV/atom: model P 0.098; model Q 0.000; model R 0.085.